[1]
## SrMgZn2 (GGA-PBE)

Data for crystalline SrMgZn2 at its relaxed geometry.

Summary:
The value obtained for the final energy is -1.588 eV per atom. The total magnetization comes out at 0.00 μB per cell.

Unit cell a=3.9369 b=4.3433 c=6.2465 alpha=90.00 beta=108.24 gamma=90.00
Last column: nearest neighbours and their distance in Å.
Space group Pm (No. 6)
Asymmetric unit:
Sr  0.0000  0.0000  0.0000 x1  7 Zn 3.23-3.35
Mg  0.2931  0.5000  0.5888 x1  6 Zn 2.90-3.04
Zn  0.6145  0.5000  0.2297 x1  2 Zn 2.55
Zn  0.7257  0.0000  0.4563 x1  2 Zn 2.55

---

[2]
## SrMg2Zn (GGA-PBE)

Data for crystalline SrMg2Zn at its relaxed geometry.

Summary:
The value obtained for the final energy is -1.485 eV per atom. The total magnetization comes out at 0.00 μB per cell.

Unit cell a=4.6855 b=4.6855 c=10.2412 alpha=90.00 beta=90.00 gamma=90.00
Last column: nearest neighbours and their distance in Å.
Space group I4/mmm (No. 139)
Asymmetric unit:
Sr  0.0000  0.0000  0.0000 x2  4 Zn 3.31, 8 Mg 3.47
Mg  0.0000  0.5000  0.2500 x4  4 Mg 3.31, 4 Sr 3.47, 4 Zn 3.47
Zn  0.0000  0.0000  0.5000 x2  4 Sr 3.31, 8 Mg 3.47

---

[3]
## Sr12MgZn6 (GGA-PBE)

Data for crystalline Sr12MgZn6 at its relaxed geometry.

Summary:
The value obtained for the final energy is -1.657 eV per atom. The total magnetization comes out at 3.29 μB per cell.

Unit cell a=11.3741 b=11.3741 c=11.3741 alpha=90.00 beta=90.00 gamma=90.00
Last column: nearest neighbours and their distance in Å.
Space group Im-3 (No. 204)
Asymmetric unit:
Sr  0.0000  0.1863  0.2975 x24  3 Zn 3.23-3.39
Mg  0.0000  0.0000  0.0000 x2  12 Sr 3.99
Zn  0.0000  0.3854  0.5000 x12  1 Zn 2.61

---

[4]
## SrMg3Zn2 (GGA-PBE)

Data for crystalline SrMg3Zn2 at its relaxed geometry.

Summary:
The value obtained for the excess energy over the best structure of this formula in the dataset is 0 meV/atom. The value obtained for the final energy is -1.658 eV per atom. The total magnetization comes out at 0.00 μB per cell.

Unit cell a=10.5227 b=10.5227 c=4.5184 alpha=90.00 beta=90.00 gamma=120.00
Last column: nearest neighbours and their distance in Å.
Space group P6/mmm (No. 191)
Asymmetric unit:
Sr  0.0000  0.0000  0.0000 x1  6 Zn 3.46, 12 Mg 3.85
Sr  0.3333  0.6667  0.5000 x2  6 Zn 3.46, 12 Mg 3.72-3.79
Mg  0.0000  0.2959  0.5000 x6  4 Zn 2.85, 4 Mg 3.11-3.12
Mg  0.0000  0.5000  0.0000 x3  4 Zn 2.85, 4 Mg 3.12
Zn  0.1897  0.3793  0.0000 x6  6 Mg 2.85

---

Calculated energy relative to the elements (eV/atom), listed in the same order as above: -0.132 0.051 -0.109 -0.155